#P
Li2GaCoP | GGA-PBE | relaxed

As for the calculated volume: 17.8 Å³ per atom. Its space-group type is P4/mmm, No. 123.

a = 4.670 Å, b = 4.670 Å, c = 4.090 Å
α = 90.00°, β = 90.00°, γ = 90.00°
Fractional coordinates of all 5 atoms:
1 Li 0.000 0.500 0.000
2 Li 0.500 0.000 0.000
3 Ga 0.000 0.000 0.500
4 Co 0.500 0.500 0.000
5 P 0.500 0.500 0.500


#Q
Li2GaCoP | GGA-PBE | relaxed

As for the calculated volume: 19.1 Å³ per atom. Its space-group type is P4/mmm, No. 123.

a = 4.443 Å, b = 4.443 Å, c = 4.831 Å
α = 90.00°, β = 90.00°, γ = 90.00°
Fractional coordinates of all 5 atoms:
1 Li 0.000 0.500 0.000
2 Li 0.500 0.000 0.000
3 Ga 0.000 0.000 0.500
4 Co 0.500 0.500 0.500
5 P 0.000 0.000 0.000


Stability, highest: #P


#P
MgGa2Co2 | GGA-PBE | relaxed

As for the calculated volume: 15.4 Å³ per atom. Its space-group type is I4/mmm, No. 139.

a = 5.659 Å, b = 5.659 Å, c = 5.659 Å
α = 139.09°, β = 139.09°, γ = 59.24°
Fractional coordinates of all 5 atoms:
1 Mg 0.000 0.000 0.000
2 Ga 0.374 0.374 0.000
3 Ga 0.626 0.626 0.000
4 Co 0.250 0.750 0.500
5 Co 0.750 0.250 0.500


#Q
MgGa2Co2 | GGA-PBE | relaxed

As for the calculated volume: 13.6 Å³ per atom. Its space-group type is P4/mbm, No. 127.

a = 6.934 Å, b = 6.934 Å, c = 2.831 Å
α = 90.00°, β = 90.00°, γ = 90.00°
Fractional coordinates of all 10 atoms:
1 Mg 0.000 0.000 0.000
2 Mg 0.500 0.500 0.000
3 Ga 0.154 0.346 0.500
4 Ga 0.346 0.846 0.500
5 Ga 0.654 0.154 0.500
6 Ga 0.846 0.654 0.500
7 Co 0.142 0.642 0.000
8 Co 0.358 0.142 0.000
9 Co 0.642 0.858 0.000
10 Co 0.858 0.358 0.000


#R
MgGa2Co2 | GGA-PBE | relaxed

As for the calculated volume: 15.1 Å³ per atom. Its space-group type is I4/mmm, No. 139.

a = 10.606 Å, b = 10.606 Å, c = 10.606 Å
α = 159.13°, β = 159.13°, γ = 29.68°
Fractional coordinates of all 10 atoms:
1 Mg 0.132 0.132 0.000
2 Mg 0.868 0.868 0.000
3 Ga 0.000 0.500 0.500
4 Ga 0.318 0.318 0.000
5 Ga 0.500 0.000 0.500
6 Ga 0.682 0.682 0.000
7 Co 0.250 0.750 0.500
8 Co 0.432 0.432 0.000
9 Co 0.568 0.568 0.000
10 Co 0.750 0.250 0.500


#S
MgGa2Co2 | GGA-PBE | relaxed

As for the calculated volume: 13.6 Å³ per atom. Its space-group type is P4/mbm, No. 127.

a = 6.993 Å, b = 6.993 Å, c = 2.776 Å
α = 90.00°, β = 90.00°, γ = 90.00°
Fractional coordinates of all 10 atoms:
1 Mg 0.000 0.000 0.000
2 Mg 0.500 0.500 0.000
3 Ga 0.136 0.364 0.000
4 Ga 0.364 0.864 0.000
5 Ga 0.636 0.136 0.000
6 Ga 0.864 0.636 0.000
7 Co 0.161 0.661 0.500
8 Co 0.339 0.161 0.500
9 Co 0.661 0.839 0.500
10 Co 0.839 0.339 0.500


Stability, highest: #S


#P
MgGa3Co2 | GGA-PBE | relaxed

As for the calculated volume: 15.0 Å³ per atom. Its space-group type is P-62m, No. 189.

a = 5.187 Å, b = 5.187 Å, c = 3.863 Å
α = 90.00°, β = 90.00°, γ = 120.00°
Fractional coordinates of all 6 atoms:
1 Mg 0.000 0.000 0.000
2 Ga 0.000 0.465 0.500
3 Ga 0.465 0.000 0.500
4 Ga 0.535 0.535 0.500
5 Co 0.333 0.667 0.000
6 Co 0.667 0.333 0.000


#Q
MgGa3Co2 | GGA-PBE | relaxed

As for the calculated volume: 14.7 Å³ per atom. Its space-group type is P-3m1, No. 164.

a = 5.662 Å, b = 5.662 Å, c = 6.348 Å
α = 90.00°, β = 90.00°, γ = 120.00°
Fractional coordinates of all 12 atoms:
1 Mg 0.333 0.667 0.172
2 Mg 0.667 0.333 0.828
3 Ga 0.166 0.332 0.790
4 Ga 0.166 0.834 0.790
5 Ga 0.332 0.166 0.210
6 Ga 0.668 0.834 0.790
7 Ga 0.834 0.166 0.210
8 Ga 0.834 0.668 0.210
9 Co 0.000 0.000 0.500
10 Co 0.000 0.500 0.500
11 Co 0.500 0.000 0.500
12 Co 0.500 0.500 0.500


Stability, highest: #P


#P
MnGaCoRe | GGA-PBE | relaxed

As for the calculated volume: 12.9 Å³ per atom. Its space-group type is Amm2, No. 38.

a = 4.011 Å, b = 5.027 Å, c = 5.027 Å
α = 30.55°, β = 90.00°, γ = 90.00°
Fractional coordinates of all 4 atoms:
1 Mn 0.000 0.000 0.000
2 Ga 0.000 0.737 0.737
3 Co 0.500 0.140 0.140
4 Re 0.500 0.397 0.397


#Q
MnGaCoRe | GGA-PBE | relaxed

As for the calculated volume: 12.9 Å³ per atom. Its space-group type is Cm, No. 8.

a = 4.635 Å, b = 4.635 Å, c = 4.368 Å
α = 101.66°, β = 101.66°, γ = 34.21°
Fractional coordinates of all 4 atoms:
1 Mn 0.000 0.000 0.000
2 Ga 0.248 0.248 0.793
3 Co 0.746 0.746 0.289
4 Re 0.487 0.487 0.483


#R
MnGaCoRe | GGA-PBE | relaxed

As for the calculated volume: 13.0 Å³ per atom. Its space-group type is Pmmm, No. 47.

a = 3.023 Å, b = 4.124 Å, c = 4.176 Å
α = 90.00°, β = 90.00°, γ = 90.00°
Fractional coordinates of all 4 atoms:
1 Mn 0.000 0.000 0.000
2 Ga 0.000 0.500 0.500
3 Co 0.500 0.000 0.500
4 Re 0.500 0.500 0.000


#S
MnGaCoRe | GGA-PBE | relaxed

As for the calculated volume: 12.9 Å³ per atom. Its space-group type is F-43m, No. 216.

a = 4.176 Å, b = 4.176 Å, c = 4.176 Å
α = 60.00°, β = 60.00°, γ = 60.00°
Fractional coordinates of all 4 atoms:
1 Mn 0.000 0.000 0.000
2 Ga 0.500 0.500 0.500
3 Co 0.750 0.750 0.750
4 Re 0.250 0.250 0.250


Stability, highest: #S


#P
MnGaCoRe | GGA-PBE | relaxed

As for the calculated volume: 12.9 Å³ per atom. Its space-group type is Pmm2, No. 25.

a = 2.704 Å, b = 4.305 Å, c = 4.425 Å
α = 90.00°, β = 90.00°, γ = 90.00°
Fractional coordinates of all 4 atoms:
1 Mn 0.000 0.000 0.000
2 Ga 0.500 0.500 0.146
3 Co 0.000 0.500 0.666
4 Re 0.500 0.000 0.507


#Q
MnGaCoRe | GGA-PBE | relaxed

As for the calculated volume: 12.9 Å³ per atom. Its space-group type is Cm, No. 8.

a = 4.499 Å, b = 4.499 Å, c = 4.552 Å
α = 100.68°, β = 100.68°, γ = 34.79°
Fractional coordinates of all 4 atoms:
1 Mn 0.000 0.000 0.000
2 Ga 0.489 0.489 0.481
3 Co 0.741 0.741 0.278
4 Re 0.250 0.250 0.788


Stability, highest: #P


#P
Ga2CoMo | GGA-PBE | relaxed

As for the calculated volume: 15.0 Å³ per atom. Its space-group type is I-42d, No. 122.

a = 5.452 Å, b = 5.452 Å, c = 5.452 Å
α = 103.48°, β = 103.48°, γ = 122.26°
Fractional coordinates of all 8 atoms:
1 Ga 0.094 0.625 0.969
2 Ga 0.375 0.344 0.469
3 Ga 0.656 0.125 0.031
4 Ga 0.875 0.906 0.531
5 Co 0.000 0.000 0.000
6 Co 0.750 0.250 0.500
7 Mo 0.250 0.750 0.500
8 Mo 0.500 0.500 0.000


#Q
Ga2CoMo | GGA-PBE | relaxed

As for the calculated volume: 13.9 Å³ per atom. Its space-group type is P4/mmm, No. 123.

a = 3.903 Å, b = 3.903 Å, c = 3.657 Å
α = 90.00°, β = 90.00°, γ = 90.00°
Fractional coordinates of all 4 atoms:
1 Ga 0.000 0.500 0.000
2 Ga 0.500 0.000 0.000
3 Co 0.000 0.000 0.500
4 Mo 0.500 0.500 0.500


Stability, highest: #Q


#P
Ga2Co2Mo | GGA-PBE | relaxed

As for the calculated volume: 13.0 Å³ per atom. Its space-group type is P4/mbm, No. 127.

a = 6.958 Å, b = 6.958 Å, c = 2.682 Å
α = 90.00°, β = 90.00°, γ = 90.00°
Fractional coordinates of all 10 atoms:
1 Ga 0.134 0.366 0.000
2 Ga 0.366 0.866 0.000
3 Ga 0.634 0.134 0.000
4 Ga 0.866 0.634 0.000
5 Co 0.165 0.665 0.500
6 Co 0.335 0.165 0.500
7 Co 0.665 0.835 0.500
8 Co 0.835 0.335 0.500
9 Mo 0.000 0.000 0.000
10 Mo 0.500 0.500 0.000


#Q
Ga2Co2Mo | GGA-PBE | relaxed

As for the calculated volume: 13.6 Å³ per atom. Its space-group type is Cmmm, No. 65.

a = 9.352 Å, b = 9.352 Å, c = 2.741 Å
α = 90.00°, β = 90.00°, γ = 163.49°
Fractional coordinates of all 5 atoms:
1 Ga 0.183 0.817 0.000
2 Ga 0.817 0.183 0.000
3 Co 0.404 0.596 0.500
4 Co 0.596 0.404 0.500
5 Mo 0.000 0.000 0.000


#R
Ga2Co2Mo | GGA-PBE | relaxed

As for the calculated volume: 13.0 Å³ per atom. Its space-group type is P4/mbm, No. 127.

a = 6.952 Å, b = 6.952 Å, c = 2.697 Å
α = 90.00°, β = 90.00°, γ = 90.00°
Fractional coordinates of all 10 atoms:
1 Ga 0.169 0.331 0.000
2 Ga 0.331 0.831 0.000
3 Ga 0.669 0.169 0.000
4 Ga 0.831 0.669 0.000
5 Co 0.127 0.627 0.500
6 Co 0.373 0.127 0.500
7 Co 0.627 0.873 0.500
8 Co 0.873 0.373 0.500
9 Mo 0.000 0.000 0.500
10 Mo 0.500 0.500 0.500


Stability, highest: #Q


#P
GaCoMo3 | GGA-PBE | relaxed

As for the calculated volume: 18.6 Å³ per atom. Its space-group type is Pm-3m, No. 221.

a = 4.531 Å, b = 4.531 Å, c = 4.531 Å
α = 90.00°, β = 90.00°, γ = 90.00°
Fractional coordinates of all 5 atoms:
1 Ga 0.000 0.000 0.000
2 Co 0.500 0.500 0.500
3 Mo 0.000 0.000 0.500
4 Mo 0.000 0.500 0.000
5 Mo 0.500 0.000 0.000


#Q
GaCoMo3 | GGA-PBE | relaxed

As for the calculated volume: 17.6 Å³ per atom. Its space-group type is Pm-3m, No. 221.

a = 4.452 Å, b = 4.452 Å, c = 4.452 Å
α = 90.00°, β = 90.00°, γ = 90.00°
Fractional coordinates of all 5 atoms:
1 Ga 0.000 0.000 0.000
2 Co 0.500 0.500 0.500
3 Mo 0.000 0.500 0.500
4 Mo 0.500 0.000 0.500
5 Mo 0.500 0.500 0.000


Stability, highest: #Q


#P
Ga3CoN | GGA-PBE | relaxed

As for the calculated volume: 18.5 Å³ per atom. Its space-group type is Pm-3m, No. 221.

a = 4.524 Å, b = 4.524 Å, c = 4.524 Å
α = 90.00°, β = 90.00°, γ = 90.00°
Fractional coordinates of all 5 atoms:
1 Ga 0.000 0.000 0.500
2 Ga 0.000 0.500 0.000
3 Ga 0.500 0.000 0.000
4 Co 0.000 0.000 0.000
5 N 0.500 0.500 0.500


#Q
Ga3CoN | GGA-PBE | relaxed

As for the calculated volume: 14.4 Å³ per atom. Its space-group type is Pm-3m, No. 221.

a = 4.158 Å, b = 4.158 Å, c = 4.158 Å
α = 90.00°, β = 90.00°, γ = 90.00°
Fractional coordinates of all 5 atoms:
1 Ga 0.000 0.000 0.500
2 Ga 0.000 0.500 0.000
3 Ga 0.500 0.000 0.000
4 Co 0.500 0.500 0.500
5 N 0.000 0.000 0.000


Stability, highest: #Q


#P
GaCoS2N | GGA-PBE | relaxed

As for the calculated volume: 15.1 Å³ per atom. Its space-group type is P4/mmm, No. 123.

a = 4.720 Å, b = 4.720 Å, c = 3.386 Å
α = 90.00°, β = 90.00°, γ = 90.00°
Fractional coordinates of all 5 atoms:
1 Ga 0.000 0.000 0.000
2 Co 0.500 0.500 0.500
3 S 0.000 0.500 0.500
4 S 0.500 0.000 0.500
5 N 0.500 0.500 0.000


#Q
GaCoS2N | GGA-PBE | relaxed

As for the calculated volume: 17.3 Å³ per atom. Its space-group type is P4/mmm, No. 123.

a = 4.837 Å, b = 4.837 Å, c = 3.704 Å
α = 90.00°, β = 90.00°, γ = 90.00°
Fractional coordinates of all 5 atoms:
1 Ga 0.000 0.000 0.000
2 Co 0.500 0.500 0.500
3 S 0.000 0.500 0.000
4 S 0.500 0.000 0.000
5 N 0.000 0.000 0.500


Stability, highest: #P


#P
GaCoSeN2 | GGA-PBE | relaxed

As for the calculated volume: 16.2 Å³ per atom. Its space-group type is P4/mmm, No. 123.

a = 3.716 Å, b = 3.716 Å, c = 5.878 Å
α = 90.00°, β = 90.00°, γ = 90.00°
Fractional coordinates of all 5 atoms:
1 Ga 0.000 0.000 0.000
2 Co 0.500 0.500 0.500
3 Se 0.000 0.000 0.500
4 N 0.000 0.500 0.000
5 N 0.500 0.000 0.000


#Q
GaCoSeN2 | GGA-PBE | relaxed

As for the calculated volume: 14.1 Å³ per atom. Its space-group type is P4/mmm, No. 123.

a = 3.662 Å, b = 3.662 Å, c = 5.239 Å
α = 90.00°, β = 90.00°, γ = 90.00°
Fractional coordinates of all 5 atoms:
1 Ga 0.000 0.000 0.000
2 Co 0.500 0.500 0.500
3 Se 0.500 0.500 0.000
4 N 0.000 0.500 0.500
5 N 0.500 0.000 0.500


Stability, highest: #Q